[1]
TbDy6Tm2 PBE relaxed; symmetry = R3m; formation energy = 0.40 eV per atom; density of states at the Fermi level = 12.998 states/eV/cell; electronic total energy = -4.18 eV per atom
1.0
6.9376 0.0000 0.0000
3.4688 6.0081 0.0000
3.4688 2.0027 7.3928
Tb Dy Tm
1 6 2
direct
0.3341 0.3341 0.9978
0.7714 0.2783 0.6719
0.2784 0.7714 0.6719
0.2783 0.2784 0.6719
0.0534 0.5673 0.3259
0.0535 0.0534 0.3259
0.5673 0.0535 0.3259
0.7475 0.7475 0.7574
0.5819 0.5819 0.2543

***

[2]
TbDy4Tm4 PBE relaxed; symmetry = I4/mmm; formation energy = 0.02 eV per atom; density of states at the Fermi level = 12.497 states/eV/cell; electronic total energy = -4.52 eV per atom
1.0
-1.1900 3.0467 -3.7238
-6.2941 4.1913 2.1420
3.8708 6.7665 1.0008
Tb Dy Tm
1 4 4
direct
0.0000 0.0000 0.0000
0.6673 0.3326 0.3327
0.3327 0.6674 0.6673
0.0000 0.6673 0.3326
0.0000 0.3327 0.6674
0.6667 0.6666 0.0001
0.3333 0.3334 0.9999
0.6668 0.9999 0.6666
0.3332 0.0001 0.3334

***

[3]
Tb5DyTm PBE relaxed; symmetry = Imm2; formation energy = 0.96 eV per atom; density of states at the Fermi level = 8.250 states/eV/cell; electronic total energy = -3.64 eV per atom
1.0
-4.2709 2.5002 3.5844
0.8273 -5.9988 5.1701
5.8434 4.7477 -1.5578
Tb Dy Tm
5 1 1
direct
0.1904 0.2549 0.5097
0.1688 0.5000 0.0000
0.6806 0.7451 0.4903
0.4331 0.1785 0.0000
0.4331 0.8215 0.0000
0.9318 0.0000 0.0000
0.6929 0.5000 0.0000

***

[4]
Tb7Dy3Tm PBE relaxed; symmetry = C2/m; formation energy = 0.27 eV per atom; density of states at the Fermi level = 16.049 states/eV/cell; electronic total energy = -4.34 eV per atom
1.0
-2.4538 -1.5931 4.9915
8.3121 -1.0471 0.3908
2.0442 8.1305 0.2386
Tb Dy Tm
7 3 1
direct
0.2106 0.2088 0.2088
0.3039 0.0100 0.5984
0.6961 0.4016 0.9900
0.3039 0.5984 0.0100
0.0000 0.5000 0.5000
0.6961 0.9900 0.4016
0.7894 0.7912 0.7912
0.0000 0.7930 0.2070
0.5000 0.0000 0.0000
0.0000 0.2070 0.7930
0.5000 0.5000 0.5000

***

Repeat the third record exactly.
Tb5DyTm PBE relaxed; symmetry = Imm2; formation energy = 0.96 eV per atom; density of states at the Fermi level = 8.250 states/eV/cell; electronic total energy = -3.64 eV per atom
1.0
-4.2709 2.5002 3.5844
0.8273 -5.9988 5.1701
5.8434 4.7477 -1.5578
Tb Dy Tm
5 1 1
direct
0.1904 0.2549 0.5097
0.1688 0.5000 0.0000
0.6806 0.7451 0.4903
0.4331 0.1785 0.0000
0.4331 0.8215 0.0000
0.9318 0.0000 0.0000
0.6929 0.5000 0.0000